1.
A plane-wave DFT calculation with meta-GGA SCAN was carried out for La4OsRu at its PBEsol-relaxed geometry.

## Properties
N(E_F) = 32.65 states/eV per cell
ΔH_f (0 K) = 1179 meV/atom

Unit cell a=8.337 b=8.337 c=8.337 alpha=90.00 beta=90.00 gamma=90.00
Space group F-43m (No. 216)
Symmetry-distinct sites (fractional):
La 0.125 0.125 0.125 (multiplicity 16)
Os 0.000 0.000 0.500 (multiplicity 4)
Ru 0.250 0.250 0.750 (multiplicity 4)


2.
A plane-wave DFT calculation with meta-GGA SCAN was carried out for Dy2Al3Cu at its PBEsol-relaxed geometry.

## Properties
N(E_F) = 10.63 states/eV per cell
ΔH_f (0 K) = -515 meV/atom

Unit cell a=5.4830 b=5.4830 c=12.9149 alpha=90.00 beta=90.00 gamma=120.00
Space group R-3m (No. 166, hexagonal axes)
Symmetry-distinct sites (fractional):
Dy 0.0000 0.0000 0.1234 (multiplicity 6)
Al 0.0000 0.5000 0.0000 (multiplicity 9)
Cu 0.0000 0.0000 0.5000 (multiplicity 3)


3.
A plane-wave DFT calculation with meta-GGA SCAN was carried out for EuTiO3 at its PBEsol-relaxed geometry.

## Properties
uncorrected formation energy = -79.904 kcal/mol of atoms
N(E_F) = 35.91 states/eV per cell

Unit cell a=5.436 b=5.436 c=7.854 alpha=90.00 beta=90.00 gamma=90.00
Space group I4/mcm (No. 140)
Symmetry-distinct sites (fractional):
Eu 0.000 0.500 0.250 (multiplicity 4)
Ti 0.000 0.000 0.000 (multiplicity 4)
O 0.000 0.000 0.250 (multiplicity 4)
O 0.201 0.299 0.000 (multiplicity 8)


4.
A plane-wave DFT calculation with meta-GGA SCAN was carried out for Hf2MgScAu at its PBEsol-relaxed geometry.

## Properties
N(E_F) = 5.61 states/eV per cell
ΔH_f (0 K) = 950 meV/atom

Unit cell a=4.925 b=4.925 c=4.968 alpha=90.00 beta=90.00 gamma=90.00
Space group P4/mmm (No. 123)
Symmetry-distinct sites (fractional):
Hf 0.000 0.500 0.000 (multiplicity 2)
Mg 0.000 0.000 0.500 (multiplicity 1)
Sc 0.500 0.500 0.000 (multiplicity 1)
Au 0.500 0.500 0.500 (multiplicity 1)


5.
A plane-wave DFT calculation with meta-GGA SCAN was carried out for SrMo2P4O16 at its PBEsol-relaxed geometry.

## Properties
uncorrected formation energy = -57.263 kcal/mol of atoms

Unit cell a=7.936 b=7.744 c=12.290 alpha=90.00 beta=129.11 gamma=90.00
Space group P2_1/c (No. 14)
Symmetry-distinct sites (fractional):
Sr 0.000 0.000 0.000 (multiplicity 2)
Mo 0.390 0.219 0.836 (multiplicity 4)
P 0.038 0.615 0.213 (multiplicity 4)
P 0.346 0.098 0.564 (multiplicity 4)
O 0.082 0.150 0.228 (multiplicity 4)
O 0.098 0.729 0.673 (multiplicity 4)
O 0.137 0.003 0.431 (multiplicity 4)
O 0.222 0.013 0.811 (multiplicity 4)
O 0.279 0.206 0.636 (multiplicity 4)
O 0.370 0.622 0.587 (multiplicity 4)
O 0.428 0.221 0.509 (multiplicity 4)
O 0.494 0.041 0.338 (multiplicity 4)


6.
A plane-wave DFT calculation with meta-GGA SCAN was carried out for CrP2RhCl at its PBEsol-relaxed geometry.

## Properties
uncorrected formation energy = 9.692 kcal/mol of atoms
N(E_F) = 2.80 states/eV per cell

Unit cell a=4.465 b=4.465 c=4.952 alpha=90.00 beta=90.00 gamma=90.00
Space group P4/mmm (No. 123)
Symmetry-distinct sites (fractional):
Cr 0.000 0.000 0.000 (multiplicity 1)
P 0.000 0.500 0.500 (multiplicity 2)
Rh 0.500 0.500 0.500 (multiplicity 1)
Cl 0.500 0.500 0.000 (multiplicity 1)


The calculation returns the following M_tot values, one per record and in order: 0.000; 0.001; 1.389; 0.000; 0.087; 0.831 μB per atom.
The calculation returns the following volume values, one per record and in order: 24.140; 18.681; 11.605; 24.100; 12.740; 19.744 Å³/atom.